*1*
VASP calculation (GGA-PBE) on a geometry-optimized BeBiPH structure.

```
BeBiPH
1.0
2.733 -2.733 0.000
2.733 2.733 0.000
-2.471 0.000 6.051
Be Bi P H
1 1 1 1
direct
0.000 0.000 0.000 Be
0.408 0.408 0.797 Bi
0.844 0.844 0.655 P
0.100 0.100 0.222 H
```

Values from the calculation:
symmetry: No. 8
magnetization: 0.00 μB/f.u.

=====

*2*
VASP calculation (GGA-PBE) on a geometry-optimized BeBiPH structure.

```
BeBiPH
1.0
3.606 0.000 0.000
1.695 3.186 0.000
0.063 0.084 5.959
Be Bi P H
1 1 1 1
direct
0.000 0.000 0.000 Be
0.664 0.665 0.635 Bi
0.678 0.675 0.117 P
0.196 0.196 0.134 H
```

Values from the calculation:
symmetry: No. 1
magnetization: 0.00 μB/f.u.

=====

Of them, the most stable is *2* and the least stable is *1*.

=====

*1*
VASP calculation (GGA-PBE) on a geometry-optimized BeBiPH structure.

```
BeBiPH
1.0
3.742 0.000 0.000
1.871 3.242 0.000
1.848 1.076 5.821
Be Bi P H
1 1 1 1
direct
0.000 0.000 0.000 Be
0.182 0.180 0.464 Bi
0.332 0.332 0.004 P
0.516 0.524 0.451 H
```

Values from the calculation:
symmetry: No. 1
magnetization: 0.00 μB/f.u.

=====

*2*
VASP calculation (GGA-PBE) on a geometry-optimized BeBiPH structure.

```
BeBiPH
1.0
3.556 0.000 0.000
-1.773 3.382 0.000
-0.001 -1.998 5.626
Be Bi P H
1 1 1 1
direct
0.000 0.000 0.000 Be
0.635 0.264 0.489 Bi
0.695 0.391 0.074 P
0.921 0.841 0.720 H
```

Values from the calculation:
symmetry: No. 1
magnetization: 0.00 μB/f.u.

=====

Of them, the most stable is *2* and the least stable is *1*.

=====

*1*
VASP calculation (GGA-PBE) on a geometry-optimized BeBiPH structure.

```
BeBiPH
1.0
3.562 0.000 0.000
-1.724 3.124 0.000
-0.115 -1.966 6.348
Be Bi P H
1 1 1 1
direct
0.000 0.000 0.000 Be
0.808 0.689 0.500 Bi
0.676 0.368 0.045 P
0.756 0.082 0.832 H
```

Values from the calculation:
symmetry: No. 1
magnetization: 0.00 μB/f.u.

=====

*2*
VASP calculation (GGA-PBE) on a geometry-optimized BeBiPH structure.

```
BeBiPH
1.0
1.877 1.083 5.626
-1.877 1.083 5.626
0.000 -2.167 5.626
Be Bi P H
1 1 1 1
direct
0.000 0.000 0.000 Be
0.490 0.490 0.490 Bi
0.331 0.331 0.331 P
0.819 0.819 0.819 H
```

Values from the calculation:
symmetry: No. 160
magnetization: 0.00 μB/f.u.

=====

Of them, the most stable is *1* and the least stable is *2*.

=====

*1*
VASP calculation (GGA-PBE) on a geometry-optimized HfBeBi3 structure.

```
HfBeBi3
1.0
5.082 0.000 0.000
0.000 5.082 0.000
0.000 0.000 5.082
Hf Be Bi
1 1 3
direct
0.000 0.000 0.000 Hf
0.500 0.500 0.500 Be
0.000 0.500 0.500 Bi
0.500 0.000 0.500 Bi
0.500 0.500 0.000 Bi
```

Values from the calculation:
symmetry: No. 221
magnetization: 0.00 μB/f.u.

=====

*2*
VASP calculation (GGA-PBE) on a geometry-optimized HfBeBi3 structure.

```
HfBeBi3
1.0
5.621 0.000 0.000
0.000 5.621 0.000
0.000 0.000 5.621
Hf Be Bi
1 1 3
direct
0.000 0.000 0.000 Hf
0.500 0.500 0.500 Be
0.000 0.000 0.500 Bi
0.000 0.500 0.000 Bi
0.500 0.000 0.000 Bi
```

Values from the calculation:
symmetry: No. 221
magnetization: 0.00 μB/f.u.

=====

Of them, the most stable is *1* and the least stable is *2*.

=====

*1*
VASP calculation (GGA-PBE) on a geometry-optimized BeHgBi3 structure.

```
BeHgBi3
1.0
5.195 0.000 0.000
0.000 5.195 0.000
0.000 0.000 5.195
Be Hg Bi
1 1 3
direct
0.000 0.000 0.000 Be
0.500 0.500 0.500 Hg
0.000 0.000 0.500 Bi
0.000 0.500 0.000 Bi
0.500 0.000 0.000 Bi
```

Values from the calculation:
symmetry: No. 221
magnetization: 0.00 μB/f.u.

=====

*2*
VASP calculation (GGA-PBE) on a geometry-optimized BeHgBi3 structure.

```
BeHgBi3
1.0
5.724 0.000 0.000
0.000 5.724 0.000
0.000 0.000 5.724
Be Hg Bi
1 1 3
direct
0.000 0.000 0.000 Be
0.500 0.500 0.500 Hg
0.000 0.500 0.500 Bi
0.500 0.000 0.500 Bi
0.500 0.500 0.000 Bi
```

Values from the calculation:
symmetry: No. 221
magnetization: 0.00 μB/f.u.

=====

Of them, the most stable is *1* and the least stable is *2*.

=====

*1*
VASP calculation (GGA-PBE) on a geometry-optimized Be2HgBi structure.

```
Be2HgBi
1.0
-2.236 2.236 8.145
2.236 -2.236 8.145
2.236 2.236 -8.145
Be Hg Bi
4 2 2
direct
0.375 0.224 0.349 Be
0.776 0.125 0.151 Be
0.875 0.026 0.651 Be
0.974 0.625 0.849 Be
0.000 0.000 0.000 Hg
0.750 0.250 0.500 Hg
0.250 0.750 0.500 Bi
0.500 0.500 0.000 Bi
```

Values from the calculation:
symmetry: No. 122
magnetization: 0.00 μB/f.u.

=====

*2*
VASP calculation (GGA-PBE) on a geometry-optimized Be2HgBi structure.

```
Be2HgBi
1.0
0.000 3.364 3.364
3.364 0.000 3.364
3.364 3.364 0.000
Be Hg Bi
2 1 1
direct
0.250 0.250 0.250 Be
0.750 0.750 0.750 Be
0.000 0.000 0.000 Hg
0.500 0.500 0.500 Bi
```

Values from the calculation:
symmetry: No. 225
magnetization: 0.00 μB/f.u.

=====

Of them, the most stable is *1* and the least stable is *2*.

=====

*1*
VASP calculation (GGA-PBE) on a geometry-optimized Be2Bi2I structure.

```
Be2Bi2I
1.0
-1.742 1.742 10.857
1.742 -1.742 10.857
1.742 1.742 -10.857
Be Bi I
2 2 1
direct
0.250 0.750 0.500 Be
0.750 0.250 0.500 Be
0.157 0.157 0.000 Bi
0.843 0.843 0.000 Bi
0.500 0.500 0.000 I
```

Values from the calculation:
symmetry: No. 139
magnetization: 0.00 μB/f.u.

=====

*2*
VASP calculation (GGA-PBE) on a geometry-optimized Be2Bi2I structure.

```
Be2Bi2I
1.0
8.613 0.000 0.000
0.000 8.613 0.000
0.000 0.000 3.836
Be Bi I
4 4 2
direct
0.088 0.412 0.000 Be
0.412 0.912 0.000 Be
0.588 0.088 0.000 Be
0.912 0.588 0.000 Be
0.137 0.637 0.500 Bi
0.363 0.137 0.500 Bi
0.637 0.863 0.500 Bi
0.863 0.363 0.500 Bi
0.000 0.000 0.500 I
0.500 0.500 0.500 I
```

Values from the calculation:
symmetry: No. 127
magnetization: 0.00 μB/f.u.

=====

Of them, the most stable is *1* and the least stable is *2*.